Entry from OQMD via LeMat-Bulk: a relaxed structure of CsLaHgS3 (GGA-PBE).

Unit cell a=8.7331 b=4.3327 c=10.9597 alpha=90.00 beta=108.95 gamma=90.00
Last column: nearest neighbours and their distance in Å.
Atoms (fractional coordinates):
S1 0.4694 0.7500 0.6336  3 La 2.80-2.88
S2 0.7759 0.2500 0.9389  3 Hg 2.63-2.80
S3 0.5306 0.2500 0.3664  3 La 2.80-2.88
S4 0.0794 0.2500 0.3424  1 Hg 2.51
S5 0.2241 0.7500 0.0611  3 Hg 2.63-2.80
S6 0.9206 0.7500 0.6576  1 Hg 2.51
Cs1 0.7346 0.7500 0.2157  6 S 3.54-3.84
Cs2 0.2654 0.2500 0.7843  6 S 3.54-3.84
La1 0.6872 0.2500 0.6339  5 S 2.80-2.93
La2 0.3128 0.7500 0.3661  5 S 2.80-2.93
Hg1 0.0899 0.2500 0.1166  4 S 2.51-2.80
Hg2 0.9101 0.7500 0.8834  4 S 2.51-2.80

Computed properties:
- M_tot (μB/f.u.) = 0.0
- space group = No. 11
- total energy (eV per atom) = -4.36

=====

Entry from OQMD via LeMat-Bulk: a relaxed structure of InAgIrS3 (GGA-PBE).

Unit cell a=3.6420 b=7.7362 c=9.3218 alpha=90.00 beta=90.00 gamma=76.39
Last column: nearest neighbours and their distance in Å.
Atoms (fractional coordinates):
Ir1 0.0000 0.0000 0.5000  6 S 2.39-2.42
Ir2 0.0000 0.0000 0.0000  6 S 2.39-2.42
S1 0.6022 0.7956 0.4767  2 Ir 2.39, 1 Ag 2.45
S2 0.3978 0.2044 0.9767  2 Ir 2.39, 1 Ag 2.45
S3 0.9566 0.0868 0.2500  2 Ir 2.42, 2 In 2.61
S4 0.3978 0.2044 0.5233  2 Ir 2.39, 1 Ag 2.45
S5 0.0434 0.9132 0.7500  2 Ir 2.42, 2 In 2.61
S6 0.6022 0.7956 0.0233  2 Ir 2.39, 1 Ag 2.45
Ag1 0.3153 0.3694 0.7500  2 S 2.45
Ag2 0.6847 0.6306 0.2500  2 S 2.45
In1 0.3324 0.3352 0.2500  4 S 2.61-2.73, 2 Ag 2.87
In2 0.6676 0.6648 0.7500  4 S 2.61-2.73, 2 Ag 2.87

Computed properties:
- M_tot (μB/f.u.) = 0.0
- space group = No. 63
- total energy (eV per atom) = -4.72

=====

Entry from OQMD via LeMat-Bulk: a relaxed structure of HfZn2Pt (GGA-PBE).

Unit cell a=5.5578 b=4.2547 c=6.2427 alpha=90.00 beta=116.38 gamma=90.00
Last column: nearest neighbours and their distance in Å.
Atoms (fractional coordinates):
Pt1 0.6426 0.7500 0.7854  4 Hf 2.69-2.88, 6 Zn 2.73-2.74
Pt2 0.3574 0.2500 0.2146  4 Hf 2.69-2.88, 6 Zn 2.73-2.74
Zn1 0.2980 0.2500 0.6258  3 Zn 2.55-2.61, 3 Pt 2.73-2.74
Zn2 0.1722 0.7500 0.3751  3 Zn 2.55-2.61, 3 Pt 2.73-2.74
Zn3 0.7020 0.7500 0.3742  3 Zn 2.55-2.61, 3 Pt 2.73-2.74
Zn4 0.8278 0.2500 0.6249  3 Zn 2.55-2.61, 3 Pt 2.73-2.74
Hf1 0.7910 0.2500 0.0811  4 Pt 2.69-2.88, 6 Zn 2.94-2.99
Hf2 0.2090 0.7500 0.9189  4 Pt 2.69-2.88, 6 Zn 2.94-2.99

Computed properties:
- M_tot (μB/f.u.) = 0.0
- calculated formation energy (kJ/mol of formula units) = -240
- space group = No. 11

=====

Entry from OQMD via LeMat-Bulk: a relaxed structure of TaCoSbIr (GGA-PBE).

Unit cell a=4.4971 b=4.4971 c=4.4971 alpha=60.00 beta=60.00 gamma=60.00
Last column: nearest neighbours and their distance in Å.
Atoms (fractional coordinates):
Ta1 0.5000 0.5000 0.5000  4 Co 2.75, 4 Ir 2.75
Ir1 0.2500 0.2500 0.2500  4 Ta 2.75, 4 Sb 2.75
Sb1 0.0000 0.0000 0.0000  4 Co 2.75, 4 Ir 2.75
Co1 0.7500 0.7500 0.7500  4 Ta 2.75, 4 Sb 2.75

Computed properties:
- M_tot (μB/f.u.) = 0.6
- space group = No. 216
- total energy (eV per atom) = -7.91